Compound: K2H6PdAu
Source: the Alexandria database
Functional: PBE
Structure: optimized geometry

POSCAR file:
```
K2H6PdAu
1.0
5.220 0.000 0.000
0.000 5.220 0.000
2.610 2.610 4.559
H Au K Pd
6 1 2 1
direct
0.816 0.816 0.368 H
0.750 0.750 0.000 H
0.184 0.184 0.632 H
0.250 0.250 0.000 H
0.250 0.750 0.000 H
0.750 0.250 0.000 H
0.500 0.500 0.000 Au
0.250 0.750 0.500 K
0.750 0.250 0.500 K
0.000 0.000 0.000 Pd
```

Calculated values
calculated total energy = -3.2721 eV/atom
total moment = 0.00 μB/cell
crystal system = tetragonal